[1]
VASP calculation (PBE) on crystalline CsLiRu2W at its relaxed geometry.

Computed properties:
space group = P4/mmm (123)
energy of formation = 2733 meV/atom

abc: 4.9368 4.4012 4.9368
angles: 90.00 90.00 90.00
Last column: magnetic moment on the atom in μB.
Atoms (fractional coordinates):
Li 0.0000 0.5000 0.0000  0.01
W 0.5000 0.5000 0.5000  2.26
Ru 0.0000 0.0000 0.5000  -0.36
Ru 0.5000 0.0000 0.0000  -0.53
Cs 0.0000 0.0000 0.0000  0.01

***

[2]
VASP calculation (PBE) on crystalline CsLiYRu2 at its relaxed geometry.

Computed properties:
space group = P4/mmm (123)
energy of formation = 1255 meV/atom

abc: 5.0927 5.9590 5.0927
angles: 90.00 90.00 90.00
Last column: magnetic moment on the atom in μB.
Atoms (fractional coordinates):
Ru 0.5000 0.0000 0.0000  1.12
Ru 0.0000 0.0000 0.5000  0.87
Li 0.0000 0.5000 0.0000  -0.02
Y 0.0000 0.0000 0.0000  -0.13
Cs 0.5000 0.5000 0.5000  -0.01

***

[3]
VASP calculation (PBE) on crystalline Cs5Li4S4 at its relaxed geometry.

Computed properties:
space group = I4/m (87)
formation energy without anion corrections = -12.50 eV/f.u.

abc: 4.5988 9.7999 9.7999
angles: 86.84 76.43 76.43
Atoms (fractional coordinates):
Cs 0.6315 0.6463 0.0907
Cs 0.2778 0.0907 0.3537
Cs 0.7222 0.9093 0.6463
Cs 0.0000 0.0000 0.0000
Cs 0.3685 0.3537 0.9093
S 0.0318 0.2884 0.6479
S 0.6798 0.3521 0.2884
S 0.3202 0.6479 0.7116
S 0.9682 0.7116 0.3521
Li 0.5536 0.3449 0.5479
Li 0.4464 0.6551 0.4521
Li 0.8985 0.5479 0.6551
Li 0.1015 0.4521 0.3449

***

[4]
VASP calculation (PBE) on crystalline CsLiS2 at its relaxed geometry.

Computed properties:
space group = R-3m (166)
energy above the lowest structure with this stoichiometry = 658 meV per atom
formation energy without anion corrections = -0.75 eV/f.u.

abc: 9.7757 9.7757 9.7757
angles: 26.19 26.19 26.19
Last column: magnetic moment on the atom in μB.
Atoms (fractional coordinates):
Li 0.0000 0.0000 0.0000  0.00
S 0.0811 0.0811 0.0811  0.57
S 0.9189 0.9189 0.9189  0.57
Cs 0.5000 0.5000 0.5000  0.01